Entry 1:
{
  "formula": "SmDyCdAu",
  "functional": "PBE",
  "state": "relaxed",
  "crystal_system": "tetragonal",
  "relative_energy_ev_per_fu": 0.00,
  "lattice_angstrom": [[3.701, 0.000, 0.000], [0.000, 3.701, 0.000], [0.000, 0.000, 7.419]],
  "species": ["Sm", "Dy", "Cd", "Au"],
  "fractional_positions": [[0.000, 0.000, 0.000], [0.000, 0.000, 0.527], [0.500, 0.500, 0.271], [0.500, 0.500, 0.747]]
}

Entry 2:
{
  "formula": "DyCdSnAu",
  "functional": "PBE",
  "state": "relaxed",
  "crystal_system": "cubic",
  "lattice_angstrom": [[0.000, 3.592, 3.592], [3.592, 0.000, 3.592], [3.592, 3.592, 0.000]],
  "species": ["Dy", "Cd", "Sn", "Au"],
  "fractional_positions": [[0.000, 0.000, 0.000], [0.500, 0.500, 0.500], [0.750, 0.750, 0.750], [0.250, 0.250, 0.250]]
}

Entry 3:
{
  "formula": "Sr2DyCdAu6",
  "functional": "PBE",
  "state": "relaxed",
  "crystal_system": "cubic",
  "lattice_angstrom": [[0.000, 5.393, 5.393], [5.393, 0.000, 5.393], [5.393, 5.393, 0.000]],
  "species": ["Sr", "Sr", "Dy", "Cd", "Au", "Au", "Au", "Au", "Au", "Au"],
  "fractional_positions": [[0.250, 0.250, 0.250], [0.750, 0.750, 0.750], [0.000, 0.000, 0.000], [0.500, 0.500, 0.500], [0.254, 0.254, 0.746], [0.254, 0.746, 0.254], [0.254, 0.746, 0.746], [0.746, 0.254, 0.254], [0.746, 0.254, 0.746], [0.746, 0.746, 0.254]]
}

no.,calculated formation energy (eV per atom),VASP energy (eV/f.u.),theoretical density (g/cm3)
1,-0.573,-15.80,10.17
2,-0.469,-14.67,10.58
3,-0.230,-30.85,8.64